Entry from the Alexandria database: LiGaSb after structural relaxation (PBE).

The structure in POSCAR format:
```
LiGaSb
1.0
4.479 0.000 0.000
-2.240 3.879 0.000
0.000 0.000 3.831
Li Ga Sb
1 1 1
Direct
0.000 0.000 0.000
0.333 0.667 0.709
0.667 0.333 0.398
```

**Total DFT energy (no corrections)**: -9.55 eV/cell
**Density of states at the Fermi level**: 0.75 states/eV/cell
**Crystal system**: trigonal
**Excess energy over the best structure of this formula in the dataset**: 8.3 kJ per mole of atoms
**Uncorrected formation energy**: -0.164 eV/atom


Entry from the Alexandria database: Li4Ga2Sb after structural relaxation (PBE).

The structure in POSCAR format:
```
Li4Ga2Sb
1.0
5.117 0.000 0.000
0.000 5.117 0.000
0.000 0.000 13.418
Li Ga Sb
8 4 2
Direct
0.000 0.000 0.202
0.000 0.000 0.798
0.000 0.500 0.000
0.000 0.500 0.500
0.500 0.000 0.000
0.500 0.000 0.500
0.500 0.500 0.298
0.500 0.500 0.702
0.000 0.000 0.400
0.000 0.000 0.600
0.500 0.500 0.100
0.500 0.500 0.900
0.000 0.000 0.000
0.500 0.500 0.500
```

**Total DFT energy (no corrections)**: -36.44 eV/cell
**Density of states at the Fermi level**: 4.82 states/eV/cell
**Crystal system**: tetragonal
**Uncorrected formation energy**: -0.056 eV/atom


Entry from the Alexandria database: LiGa2Sb2 after structural relaxation (PBE).

The structure in POSCAR format:
```
LiGa2Sb2
1.0
7.742 0.000 0.000
0.000 7.742 0.000
0.000 0.000 3.841
Li Ga Sb
2 4 4
Direct
0.000 0.000 0.000
0.500 0.500 0.000
0.134 0.366 0.000
0.366 0.866 0.000
0.634 0.134 0.000
0.866 0.634 0.000
0.160 0.660 0.500
0.340 0.160 0.500
0.660 0.840 0.500
0.840 0.340 0.500
```

**Total DFT energy (no corrections)**: -32.88 eV/cell
**Density of states at the Fermi level**: 2.88 states/eV/cell
**Crystal system**: tetragonal
**Excess energy over the best structure of this formula in the dataset**: 0.3 kJ per mole of atoms
**Uncorrected formation energy**: -0.046 eV/atom


Entry from the Alexandria database: Li2GaSb2 after structural relaxation (PBE).

The structure in POSCAR format:
```
Li2GaSb2
1.0
8.544 0.000 0.000
0.000 8.544 0.000
0.000 0.000 3.002
Li Ga Sb
4 2 4
Direct
0.122 0.378 0.000
0.378 0.878 0.000
0.622 0.122 0.000
0.878 0.622 0.000
0.000 0.000 0.500
0.500 0.500 0.500
0.175 0.675 0.500
0.325 0.175 0.500
0.675 0.825 0.500
0.825 0.325 0.500
```

**Total DFT energy (no corrections)**: -32.90 eV/cell
**Density of states at the Fermi level**: 2.62 states/eV/cell
**Crystal system**: tetragonal
**Excess energy over the best structure of this formula in the dataset**: 0.0 kJ per mole of atoms
**Uncorrected formation energy**: -0.270 eV/atom


Entry from the Alexandria database: LiGaSb after structural relaxation (PBE).

The structure in POSCAR format:
```
LiGaSb
1.0
6.311 0.000 0.000
0.000 6.311 0.000
0.000 0.000 6.311
Li Ga Sb
4 4 4
Direct
0.000 0.000 0.000
0.000 0.500 0.500
0.500 0.000 0.500
0.500 0.500 0.000
0.250 0.250 0.750
0.250 0.750 0.250
0.750 0.250 0.250
0.750 0.750 0.750
0.250 0.250 0.250
0.250 0.750 0.750
0.750 0.250 0.750
0.750 0.750 0.250
```

**Total DFT energy (no corrections)**: -38.36 eV/cell
**Density of states at the Fermi level**: 5.00 states/eV/cell
**Crystal system**: cubic
**Excess energy over the best structure of this formula in the dataset**: 7.2 kJ per mole of atoms
**Uncorrected formation energy**: -0.176 eV/atom


Entry from the Alexandria database: Li3GaSb after structural relaxation (PBE).

The structure in POSCAR format:
```
Li3GaSb
1.0
5.134 0.000 0.000
0.000 5.134 0.000
0.000 0.000 5.134
Li Ga Sb
3 1 1
Direct
0.000 0.000 0.500
0.000 0.500 0.000
0.500 0.000 0.000
0.500 0.500 0.500
0.000 0.000 0.000
```

**Total DFT energy (no corrections)**: -13.27 eV/cell
**Density of states at the Fermi level**: 3.28 states/eV/cell
**Crystal system**: cubic
**Excess energy over the best structure of this formula in the dataset**: 0.0 kJ per mole of atoms
**Uncorrected formation energy**: -0.077 eV/atom


Entry from the Alexandria database: Li3GaSb after structural relaxation (PBE).

The structure in POSCAR format:
```
Li3GaSb
1.0
4.749 0.000 0.000
0.000 4.749 0.000
0.000 0.000 4.749
Li Ga Sb
3 1 1
Direct
0.000 0.000 0.500
0.000 0.500 0.000
0.500 0.000 0.000
0.000 0.000 0.000
0.500 0.500 0.500
```

**Total DFT energy (no corrections)**: -12.53 eV/cell
**Density of states at the Fermi level**: 3.99 states/eV/cell
**Crystal system**: cubic
**Excess energy over the best structure of this formula in the dataset**: 14.3 kJ per mole of atoms
**Uncorrected formation energy**: 0.071 eV/atom


Entry from the Alexandria database: LiGaSb after structural relaxation (PBE).

The structure in POSCAR format:
```
LiGaSb
1.0
3.850 0.000 0.000
0.000 3.850 0.000
0.000 0.000 8.702
Li Ga Sb
2 2 2
Direct
0.000 0.000 0.000
0.500 0.500 0.500
0.000 0.000 0.683
0.500 0.500 0.183
0.000 0.000 0.332
0.500 0.500 0.832
```

**Total DFT energy (no corrections)**: -19.28 eV/cell
**Density of states at the Fermi level**: 2.60 states/eV/cell
**Crystal system**: tetragonal
**Excess energy over the best structure of this formula in the dataset**: 5.5 kJ per mole of atoms
**Uncorrected formation energy**: -0.192 eV/atom